[1]
Below is Rb6Si10O23 after structural relaxation, with properties calculated at the PBE level.

Cell lengths 8.192, 9.545, 9.545 Å; angles 120.44, 90.00, 90.00 degrees
Fractional positions:
Rb1 0.000 0.000 0.000
Rb2 0.000 0.522 0.761
Rb3 0.000 0.761 0.522
Rb4 0.500 0.508 0.750
Rb5 0.500 0.750 0.508
Rb6 0.500 0.992 0.992
Si1 0.189 0.095 0.439
Si2 0.189 0.439 0.095
Si3 0.302 0.352 0.352
Si4 0.309 0.160 0.769
Si5 0.309 0.769 0.160
Si6 0.691 0.160 0.769
Si7 0.691 0.769 0.160
Si8 0.698 0.352 0.352
Si9 0.811 0.095 0.439
Si10 0.811 0.439 0.095
O1 0.000 0.139 0.505
O2 0.000 0.505 0.139
O3 0.204 0.326 0.898
O4 0.204 0.898 0.326
O5 0.232 0.178 0.331
O6 0.232 0.331 0.178
O7 0.250 0.753 0.994
O8 0.250 0.994 0.753
O9 0.254 0.513 0.513
O10 0.304 0.170 0.600
O11 0.304 0.600 0.170
O12 0.500 0.209 0.834
O13 0.500 0.321 0.321
O14 0.500 0.834 0.209
O15 0.696 0.170 0.600
O16 0.696 0.600 0.170
O17 0.746 0.513 0.513
O18 0.750 0.753 0.994
O19 0.750 0.994 0.753
O20 0.768 0.178 0.331
O21 0.768 0.331 0.178
O22 0.796 0.326 0.898
O23 0.796 0.898 0.326

Properties
E = -7.07 eV/atom
E_form (uncorrected) = -2.609 eV per atom
Density of states at the Fermi level = 0.00 states/eV/cell



[2]
Below is TlNiW2 after structural relaxation, with properties calculated at the PBE level.

Cell lengths 2.818, 4.179, 5.823 Å; angles 90.00, 100.78, 90.00 degrees
Fractional positions:
Tl1 0.000 0.000 0.000
Ni1 0.878 0.500 0.726
W1 0.335 0.000 0.521
W2 0.575 0.500 0.285

Properties
E = -7.93 eV/atom
Density of states at the Fermi level = 3.14 states/eV/cell
DFT formation energy = 2.35 eV/f.u.
ΔE to the lowest computed polymorph = 9.33 kJ per mole of atoms



[3]
Below is La4Si2O after structural relaxation, with properties calculated at the PBE level.

Cell lengths 6.954, 6.833, 8.710 Å; angles 90.00, 108.44, 90.00 degrees
Fractional positions:
La1 0.002 0.007 0.241
La2 0.002 0.493 0.241
La3 0.421 0.750 0.586
La4 0.440 0.750 0.129
La5 0.560 0.250 0.871
La6 0.579 0.250 0.414
La7 0.998 0.507 0.759
La8 0.998 0.993 0.759
Si1 0.221 0.250 0.553
Si2 0.252 0.250 0.063
Si3 0.748 0.750 0.937
Si4 0.779 0.750 0.447
O1 0.233 0.750 0.308
O2 0.767 0.250 0.692

Properties
E = -6.25 eV/atom
E_form (uncorrected) = -1.180 eV per atom
Density of states at the Fermi level = 10.40 states/eV/cell
ΔE to the lowest computed polymorph = 0.66 kJ per mole of atoms



[4]
Below is KVCr2 after structural relaxation, with properties calculated at the PBE level.

Cell lengths 6.853, 6.853, 6.853 Å; angles 90.00, 90.00, 90.00 degrees
Fractional positions:
K1 0.000 0.000 0.000
K2 0.000 0.500 0.500
K3 0.500 0.000 0.500
K4 0.500 0.500 0.000
V1 0.000 0.000 0.500
V2 0.000 0.500 0.000
V3 0.500 0.000 0.000
V4 0.500 0.500 0.500
Cr1 0.250 0.250 0.250
Cr2 0.250 0.250 0.750
Cr3 0.250 0.750 0.250
Cr4 0.250 0.750 0.750
Cr5 0.750 0.250 0.250
Cr6 0.750 0.250 0.750
Cr7 0.750 0.750 0.250
Cr8 0.750 0.750 0.750

Properties
E = -5.94 eV/atom
Density of states at the Fermi level = 20.58 states/eV/cell
DFT formation energy = 5.71 eV/f.u.
ΔE to the lowest computed polymorph = 0.00 kJ per mole of atoms



[5]
Below is Ag12Sb3I5 after structural relaxation, with properties calculated at the PBE level.

Cell lengths 14.469, 14.469, 14.469 Å; angles 109.47, 109.47, 109.47 degrees
Fractional positions:
Ag1 0.069 0.646 0.404
Ag2 0.069 0.924 0.665
Ag3 0.076 0.242 0.146
Ag4 0.076 0.335 0.931
Ag5 0.096 0.742 0.665
Ag6 0.096 0.854 0.431
Ag7 0.146 0.076 0.242
Ag8 0.146 0.569 0.904
Ag9 0.165 0.242 0.596
Ag10 0.165 0.424 0.569
Ag11 0.242 0.146 0.076
Ag12 0.242 0.596 0.165
Ag13 0.258 0.335 0.904
Ag14 0.258 0.424 0.354
Ag15 0.335 0.904 0.258
Ag16 0.335 0.931 0.076
Ag17 0.354 0.258 0.424
Ag18 0.354 0.596 0.931
Ag19 0.404 0.069 0.646
Ag20 0.404 0.835 0.758
Ag21 0.424 0.354 0.258
Ag22 0.424 0.569 0.165
Ag23 0.431 0.096 0.854
Ag24 0.431 0.835 0.576
Ag25 0.569 0.165 0.424
Ag26 0.569 0.904 0.146
Ag27 0.576 0.431 0.835
Ag28 0.576 0.646 0.742
Ag29 0.596 0.165 0.242
Ag30 0.596 0.931 0.354
Ag31 0.646 0.404 0.069
Ag32 0.646 0.742 0.576
Ag33 0.665 0.069 0.924
Ag34 0.665 0.096 0.742
Ag35 0.742 0.576 0.646
Ag36 0.742 0.665 0.096
Ag37 0.758 0.404 0.835
Ag38 0.758 0.854 0.924
Ag39 0.835 0.576 0.431
Ag40 0.835 0.758 0.404
Ag41 0.854 0.431 0.096
Ag42 0.854 0.924 0.758
Ag43 0.904 0.146 0.569
Ag44 0.904 0.258 0.335
Ag45 0.924 0.665 0.069
Ag46 0.924 0.758 0.854
Ag47 0.931 0.076 0.335
Ag48 0.931 0.354 0.596
Sb1 0.125 0.250 0.375
Sb2 0.125 0.375 0.750
Sb3 0.250 0.375 0.125
Sb4 0.250 0.875 0.625
Sb5 0.375 0.125 0.250
Sb6 0.375 0.750 0.125
Sb7 0.625 0.250 0.875
Sb8 0.625 0.875 0.750
Sb9 0.750 0.125 0.375
Sb10 0.750 0.625 0.875
Sb11 0.875 0.625 0.250
Sb12 0.875 0.750 0.625
I1 0.000 0.000 0.000
I2 0.000 0.000 0.500
I3 0.000 0.500 0.000
I4 0.000 0.500 0.500
I5 0.125 0.750 0.875
I6 0.125 0.875 0.250
I7 0.250 0.125 0.875
I8 0.250 0.625 0.375
I9 0.375 0.250 0.625
I10 0.375 0.625 0.750
I11 0.500 0.000 0.000
I12 0.500 0.000 0.500
I13 0.500 0.500 0.000
I14 0.500 0.500 0.500
I15 0.625 0.375 0.250
I16 0.625 0.750 0.375
I17 0.750 0.375 0.625
I18 0.750 0.875 0.125
I19 0.875 0.125 0.750
I20 0.875 0.250 0.125

Properties
E = -2.69 eV/atom
E_form (uncorrected) = 0.023 eV per atom
Density of states at the Fermi level = 12.53 states/eV/cell



[6]
Below is Fe3TeC after structural relaxation, with properties calculated at the PBE level.

Cell lengths 4.746, 4.746, 4.746 Å; angles 90.00, 90.00, 90.00 degrees
Fractional positions:
Fe1 0.000 0.000 0.500
Fe2 0.000 0.500 0.000
Fe3 0.500 0.000 0.000
Te1 0.000 0.000 0.000
C1 0.500 0.500 0.500

Properties
E = -5.13 eV/atom
E_form (uncorrected) = 2.418 eV per atom
Density of states at the Fermi level = 4.80 states/eV/cell
ΔE to the lowest computed polymorph = 206.59 kJ per mole of atoms



[7]
Below is Fe2Ni3Pd2 after structural relaxation, with properties calculated at the PBE level.

Cell lengths 4.414, 9.538, 4.358 Å; angles 90.00, 97.62, 90.00 degrees
Fractional positions:
Fe1 0.114 0.183 0.298
Fe2 0.114 0.317 0.798
Fe3 0.886 0.683 0.202
Fe4 0.886 0.817 0.702
Ni1 0.051 0.059 0.760
Ni2 0.051 0.441 0.260
Ni3 0.500 0.000 0.500
Ni4 0.500 0.500 0.000
Ni5 0.949 0.559 0.740
Ni6 0.949 0.941 0.240
Pd1 0.415 0.657 0.506
Pd2 0.415 0.843 0.006
Pd3 0.585 0.157 0.994
Pd4 0.585 0.343 0.494

Properties
E = -6.29 eV/atom
Density of states at the Fermi level = 13.26 states/eV/cell
DFT formation energy = 0.62 eV/f.u.
ΔE to the lowest computed polymorph = 9.69 kJ per mole of atoms



[8]
Below is Ta3Tl4PbO12 after structural relaxation, with properties calculated at the PBE level.

Cell lengths 7.159, 7.159, 7.159 Å; angles 109.47, 109.47, 109.47 degrees
Fractional positions:
Ta1 0.000 0.500 0.500
Ta2 0.500 0.000 0.500
Ta3 0.500 0.500 0.000
Tl1 0.000 0.000 0.500
Tl2 0.000 0.500 0.000
Tl3 0.500 0.000 0.000
Tl4 0.500 0.500 0.500
Pb1 0.000 0.000 0.000
O1 0.000 0.263 0.263
O2 0.000 0.737 0.737
O3 0.250 0.500 0.750
O4 0.250 0.750 0.500
O5 0.263 0.000 0.263
O6 0.263 0.263 0.000
O7 0.500 0.250 0.750
O8 0.500 0.750 0.250
O9 0.737 0.000 0.737
O10 0.737 0.737 0.000
O11 0.750 0.250 0.500
O12 0.750 0.500 0.250

Properties
E = -7.19 eV/atom
E_form (uncorrected) = -1.780 eV per atom
Density of states at the Fermi level = 5.62 states/eV/cell



[9]
Below is La4Te2PPd after structural relaxation, with properties calculated at the PBE level.

Cell lengths 7.680, 4.361, 7.805 Å; angles 90.00, 108.57, 90.00 degrees
Fractional positions:
La1 0.233 0.000 0.221
La2 0.254 0.500 0.778
La3 0.746 0.500 0.222
La4 0.767 0.000 0.779
Te1 0.000 0.000 0.500
Te2 0.500 0.500 0.500
P1 0.000 0.500 0.000
Pd1 0.500 0.000 0.000

Properties
E = -5.95 eV/atom
E_form (uncorrected) = -1.373 eV per atom
Density of states at the Fermi level = 5.88 states/eV/cell



[10]
Below is Nb2BiI after structural relaxation, with properties calculated at the PBE level.

Cell lengths 6.986, 6.986, 6.986 Å; angles 90.00, 90.00, 90.00 degrees
Fractional positions:
Nb1 0.250 0.250 0.250
Nb2 0.250 0.250 0.750
Nb3 0.250 0.750 0.250
Nb4 0.250 0.750 0.750
Nb5 0.750 0.250 0.250
Nb6 0.750 0.250 0.750
Nb7 0.750 0.750 0.250
Nb8 0.750 0.750 0.750
Bi1 0.000 0.000 0.000
Bi2 0.000 0.500 0.500
Bi3 0.500 0.000 0.500
Bi4 0.500 0.500 0.000
I1 0.000 0.000 0.500
I2 0.000 0.500 0.000
I3 0.500 0.000 0.000
I4 0.500 0.500 0.500

Properties
E = -5.89 eV/atom
E_form (uncorrected) = 0.506 eV per atom
Density of states at the Fermi level = 17.07 states/eV/cell
ΔE to the lowest computed polymorph = 0.00 kJ per mole of atoms



[11]
Below is CsBH after structural relaxation, with properties calculated at the PBE level.

Cell lengths 4.794, 3.358, 10.168 Å; angles 90.00, 98.68, 90.00 degrees
Fractional positions:
Cs1 0.067 0.250 0.210
Cs2 0.933 0.750 0.790
B1 0.491 0.250 0.970
B2 0.509 0.750 0.030
H1 0.450 0.250 0.843
H2 0.550 0.750 0.157

Properties
E = -3.57 eV/atom
Density of states at the Fermi level = 1.73 states/eV/cell



[12]
Below is SrLiMn2 after structural relaxation, with properties calculated at the PBE level.

Cell lengths 3.478, 3.478, 7.430 Å; angles 90.00, 90.00, 90.00 degrees
Fractional positions:
Sr1 0.000 0.000 0.000
Li1 0.000 0.000 0.500
Mn1 0.500 0.500 0.319
Mn2 0.500 0.500 0.681

Properties
E = -4.86 eV/atom
Density of states at the Fermi level = 4.24 states/eV/cell
DFT formation energy = 2.48 eV/f.u.
ΔE to the lowest computed polymorph = 24.37 kJ per mole of atoms



[13]
Below is MgZrSc after structural relaxation, with properties calculated at the PBE level.

Cell lengths 3.222, 3.222, 13.448 Å; angles 90.00, 90.00, 90.00 degrees
Fractional positions:
Mg1 0.250 0.250 0.079
Mg2 0.750 0.750 0.921
Zr1 0.250 0.250 0.754
Zr2 0.750 0.750 0.246
Sc1 0.250 0.250 0.406
Sc2 0.750 0.750 0.594

Properties
E = -5.52 eV/atom
Density of states at the Fermi level = 5.04 states/eV/cell
DFT formation energy = -0.07 eV/f.u.
ΔE to the lowest computed polymorph = 2.51 kJ per mole of atoms



[14]
Below is TbReTc2 after structural relaxation, with properties calculated at the PBE level.

Cell lengths 9.179, 9.177, 4.737 Å; angles 75.08, 75.01, 29.91 degrees
Fractional positions:
Tb1 0.125 0.125 0.125
Tb2 0.875 0.875 0.875
Re1 0.375 0.375 0.375
Re2 0.625 0.625 0.625
Tc1 0.000 0.500 0.500
Tc2 0.500 0.000 0.500
Tc3 0.500 0.500 0.000
Tc4 0.500 0.500 0.500

Properties
E = -8.59 eV/atom
Density of states at the Fermi level = 6.03 states/eV/cell
DFT formation energy = 3.44 eV/f.u.



[15]
Below is Cs7Cd2Au2 after structural relaxation, with properties calculated at the PBE level.

Cell lengths 8.978, 8.978, 9.111 Å; angles 90.04, 90.04, 67.29 degrees
Fractional positions:
Cs1 0.000 0.000 0.000
Cs2 0.000 0.500 0.264
Cs3 0.000 0.500 0.736
Cs4 0.500 0.000 0.264
Cs5 0.500 0.000 0.736
Cs6 0.500 0.500 0.248
Cs7 0.500 0.500 0.752
Cd1 0.148 0.852 0.500
Cd2 0.852 0.148 0.500
Au1 0.311 0.311 0.000
Au2 0.689 0.689 0.000

Properties
E = -1.42 eV/atom
Density of states at the Fermi level = 6.93 states/eV/cell
DFT formation energy = -1.25 eV/f.u.



[16]
Below is Pu2SiC after structural relaxation, with properties calculated at the PBE level.

Cell lengths 4.015, 4.015, 14.265 Å; angles 90.00, 90.00, 120.00 degrees
Fractional positions:
Pu1 0.000 0.000 0.197
Pu2 0.000 0.000 0.803
Pu3 0.333 0.667 0.470
Pu4 0.333 0.667 0.864
Pu5 0.667 0.333 0.136
Pu6 0.667 0.333 0.530
Si1 0.000 0.000 0.000
Si2 0.333 0.667 0.667
Si3 0.667 0.333 0.333
C1 0.000 0.000 0.500
C2 0.333 0.667 0.167
C3 0.667 0.333 0.833

Properties
E = -10.45 eV/atom
E_form (uncorrected) = 0.377 eV per atom
Density of states at the Fermi level = 15.04 states/eV/cell
ΔE to the lowest computed polymorph = 39.86 kJ per mole of atoms



[17]
Below is PmTh4Pd4 after structural relaxation, with properties calculated at the PBE level.

Cell lengths 9.075, 9.075, 6.001 Å; angles 90.00, 90.00, 90.00 degrees
Fractional positions:
Pm1 0.250 0.250 0.250
Pm2 0.750 0.750 0.750
Th1 0.053 0.663 0.155
Th2 0.163 0.947 0.655
Th3 0.337 0.553 0.655
Th4 0.447 0.837 0.155
Th5 0.553 0.163 0.845
Th6 0.663 0.447 0.345
Th7 0.837 0.053 0.345
Th8 0.947 0.337 0.845
Pd1 0.037 0.634 0.645
Pd2 0.134 0.963 0.145
Pd3 0.366 0.537 0.145
Pd4 0.463 0.866 0.645
Pd5 0.537 0.134 0.355
Pd6 0.634 0.463 0.855
Pd7 0.866 0.037 0.855
Pd8 0.963 0.366 0.355

Properties
E = -6.65 eV/atom
Density of states at the Fermi level = 19.99 states/eV/cell
DFT formation energy = -4.64 eV/f.u.



[18]
Below is NbInO4 after structural relaxation, with properties calculated at the PBE level.

Cell lengths 5.292, 5.127, 5.249 Å; angles 90.00, 95.21, 90.00 degrees
Fractional positions:
Nb1 0.000 0.000 0.000
Nb2 0.000 0.500 0.500
In1 0.500 0.000 0.500
In2 0.500 0.500 0.000
O1 0.134 0.170 0.686
O2 0.134 0.330 0.186
O3 0.334 0.650 0.630
O4 0.334 0.850 0.130
O5 0.666 0.150 0.870
O6 0.666 0.350 0.370
O7 0.866 0.670 0.814
O8 0.866 0.830 0.314

Properties
E = -7.46 eV/atom
E_form (uncorrected) = -2.023 eV per atom
Density of states at the Fermi level = 0.00 states/eV/cell